Record 1
PBE NdTm, optimized geometry; spin magnetization = 0.008 Bohr magnetons per cell; space group = P-6m2 (187); DFT formation energy = 0.037 eV per atom; relative energy among the computed polymorphs = 0.00 kJ per mole of atoms; energy = -9.164 eV per formula unit
1.0
3.631 0.000 0.000
-1.816 3.145 0.000
0.000 0.000 5.735
Nd Tm
1 1
direct
0.000 0.000 0.000
0.667 0.333 0.500

=====

Record 2
PBE NdTm, optimized geometry; spin magnetization = 0.168 Bohr magnetons per cell; space group = Fm-3m (225); DFT formation energy = 0.692 eV per atom; relative energy among the computed polymorphs = 63.22 kJ per mole of atoms; energy = -7.853 eV per formula unit
1.0
0.000 3.233 3.233
3.233 0.000 3.233
3.233 3.233 0.000
Nd Tm
1 1
direct
0.000 0.000 0.000
0.500 0.500 0.500

=====

Record 3
PBE NdTm2, optimized geometry; spin magnetization = 5.869 Bohr magnetons per cell; space group = Fd-3m (227); DFT formation energy = 0.283 eV per atom; energy = -12.865 eV per formula unit
1.0
0.000 4.682 4.682
4.682 0.000 4.682
4.682 4.682 0.000
Nd Tm
2 4
direct
0.125 0.125 0.125
0.875 0.875 0.875
0.000 0.500 0.500
0.500 0.000 0.500
0.500 0.500 0.000
0.500 0.500 0.500

=====

Record 4
PBE NdTm, optimized geometry; spin magnetization = 0.016 Bohr magnetons per cell; space group = F-43m (216); DFT formation energy = 1.738 eV per atom; relative energy among the computed polymorphs = 164.15 kJ per mole of atoms; energy = -5.761 eV per formula unit
1.0
0.000 3.501 3.501
3.501 0.000 3.501
3.501 3.501 0.000
Nd Tm
1 1
direct
0.000 0.000 0.000
0.750 0.750 0.750

=====

Record 5
PBE Nd2Tm, optimized geometry; spin magnetization = 0.029 Bohr magnetons per cell; space group = Fd-3m (227); DFT formation energy = 0.266 eV per atom; energy = -13.201 eV per formula unit
1.0
0.000 4.694 4.694
4.694 0.000 4.694
4.694 4.694 0.000
Nd Tm
4 2
direct
0.000 0.000 0.000
0.000 0.000 0.500
0.000 0.500 0.000
0.500 0.000 0.000
0.375 0.375 0.375
0.625 0.625 0.625

=====

Record 6
PBE NdYTm, optimized geometry; spin magnetization = 0.001 Bohr magnetons per cell; space group = F-43m (216); DFT formation energy = 0.705 eV per atom; relative energy among the computed polymorphs = 0.00 kJ per mole of atoms; energy = -13.588 eV per formula unit
1.0
0.000 3.856 3.856
3.856 0.000 3.856
3.856 3.856 0.000
Nd Y Tm
1 1 1
direct
0.000 0.000 0.000
0.500 0.500 0.500
0.250 0.250 0.250